[1]
Li3PtCl | PBE | optimized geometry

## Properties
energy = -16.81 eV for the cell shown
energy relative to the elements, uncorrected = -637 meV per atom
polymorph energy (0 for the lowest one) = 0.0000 eV/atom

The structure in extended XYZ format:
```
5
Lattice="4.433 0.000 0.000 0.000 4.433 0.000 0.000 0.000 4.433" Properties=species:S:1:pos:R:3 pbc="T T T"
Cl 0.000 0.000 0.000
Pt 2.216 2.216 2.216
Li 2.216 0.000 0.000
Li 0.000 2.216 0.000
Li 0.000 0.000 2.216
```



[2]
Cr3Ir | PBE | optimized geometry

## Properties
energy = -37.57 eV for the cell shown
energy of formation = 39.1 meV per atom

The structure in extended XYZ format:
```
4
Lattice="2.606 0.000 -0.003 0.000 3.788 0.000 -0.867 0.000 5.084" Properties=species:S:1:pos:R:3 pbc="T T T"
Ir 0.653 1.894 3.811
Cr 1.965 0.000 2.458
Cr 1.086 1.894 1.270
Cr 0.207 0.000 0.081
```



[3]
HgSb4S8 | PBE | optimized geometry

## Properties
energy = -210.51 eV for the cell shown
energy relative to the elements, uncorrected = -217 meV per atom
polymorph energy (0 for the lowest one) = 0.0000 eV/atom

The structure in extended XYZ format:
```
52
Lattice="11.396 0.028 -0.025 10.690 3.947 -0.025 7.364 1.326 29.794" Properties=species:S:1:pos:R:3 pbc="T T T"
S 9.353 1.710 17.907
S 20.097 3.591 11.837
S 5.107 0.917 17.237
S 18.947 3.382 15.485
S 23.770 4.305 26.735
S 11.457 2.066 5.081
S 17.994 3.235 24.663
S 9.482 1.692 1.754
S 19.969 3.609 27.990
S 6.040 1.194 8.073
S 28.026 5.043 27.405
S 22.275 3.935 25.336
S 26.047 4.696 24.077
S 18.567 3.417 10.438
S 16.291 2.918 13.093
S 14.310 2.579 9.766
S 10.504 1.918 14.260
S 3.404 0.605 5.668
S 9.760 1.649 22.970
S 10.884 1.884 19.306
S 22.367 4.018 9.180
S 15.141 2.722 19.979
S 1.424 0.258 2.340
S 7.176 1.366 4.409
S 13.159 2.383 16.652
S 7.083 1.283 20.565
S 5.680 0.996 3.010
S 15.255 2.773 0.587
S 19.691 3.651 6.775
S 14.196 2.527 29.157
S 24.343 4.384 12.508
S 23.410 4.106 21.672
Hg 14.725 2.650 14.872
Hg 16.917 1.035 22.321
Hg 12.534 4.265 7.424
Hg 11.043 1.988 -0.025
Sb 15.861 2.788 25.856
Sb 12.160 1.943 23.581
Sb 11.839 2.024 28.523
Sb 4.392 0.842 11.365
Sb 21.331 3.732 16.119
Sb 17.611 3.277 1.222
Sb 8.120 1.569 13.626
Sb 8.393 1.756 8.683
Sb 12.156 2.254 10.958
Sb 17.295 3.046 18.786
Sb 13.589 2.512 3.889
Sb 17.290 3.358 6.164
Sb 21.058 3.545 21.061
Sb 25.059 4.459 18.380
Sb 8.092 1.405 26.262
Sb 21.359 3.896 3.482
```